VASP calculation (PBE) on a relaxed Np4Sb3H2 crystal.

```
data_Np4Sb3H2
_chemical_formula_sum 'Np4 Sb3 H2'
_cell_length_a 6.039
_cell_length_b 6.039
_cell_length_c 8.588
_cell_angle_alpha 102.73
_cell_angle_beta 102.73
_cell_angle_gamma 37.11
_space_group_name_H-M_alt 'P 1'
_space_group_IT_number 1
loop_
_space_group_symop_operation_xyz
'x,y,z'
loop_
_atom_site_label
_atom_site_type_symbol
_atom_site_fract_x
_atom_site_fract_y
_atom_site_fract_z
_atom_site_occupancy
Np1 Np 0.078 0.078 0.369 1
Np2 Np 0.288 0.288 0.934 1
Np3 Np 0.712 0.712 0.066 1
Np4 Np 0.922 0.922 0.631 1
Sb1 Sb 0.000 0.000 0.000 1
Sb2 Sb 0.349 0.349 0.329 1
Sb3 Sb 0.651 0.651 0.671 1
H1 H 0.375 0.375 0.730 1
H2 H 0.625 0.625 0.270 1
```

Magnetic moment ... 11.171 μB/cell
N(E_F) ... 19.056 states/eV/cell
DFT total energy ... -8.073 eV/atom
Calculated volume ... 20.4 Å³ per atom
SG ... No. 12